Density functional theory data (PBE) for a geometry-optimized Tl2CrTc structure. Values from VASP.

```
&SYSTEM
  ibrav = 0, nat = 4, ntyp = 3
/
ATOMIC_SPECIES
Tl 204.38 Tl.upf
Cr 52.00 Cr.upf
Tc 98.00 Tc.upf
CELL_PARAMETERS angstrom
-0.446 -3.193 -0.759
4.907 -1.053 1.545
2.015 -1.533 5.264
ATOMIC_POSITIONS angstrom
Tl 0.000 0.000 0.000
Tl 2.231 -2.123 0.393
Cr 3.238 -2.890 3.025
Tc 1.007 -0.767 2.632
```

Output
DOS at the Fermi energy ... 3.6 states/eV/cell
Distance to the lowest polymorph of the same formula ... 363 meV/atom
Space-group type ... P2/m (10)
Energy of formation from the pure elements ... 3.12 eV per formula unit
VASP energy ... -21.60 eV per cell